Computed, not measured: Er5Tl2In after structural relaxation at the PBE level of DFT.

The energy of formation is -0.3020 eV/atom. The calculation puts the total magnetization at 0.0 μB/f.u.

It has space group I4/mcm (No. 140), with a = 8.1164 Å, b = 8.1164 Å, c = 13.7340 Å, α = 90.00°, β = 90.00° and γ = 90.00°. The distinct sites, in fractional coordinates, are Er at (0.0000, 0.0000, 0.0000), Er at (0.1563, 0.3437, 0.1537), Tl at (0.1392, 0.3608, 0.5000) and In at (0.0000, 0.0000, 0.2500).